Compound: CsCaAlH6
Source: Alexandria via LeMat-Bulk
Functional: PBE
Structure: optimized geometry

The calculated volume is 157.3 Å³ per cell. The symmetry is P312, No. 149. The raw total energy is -3.26 eV/atom.

abc: 5.439 5.440 6.140
angles: 90.00 90.00 60.00
Fractional coordinates of all 9 atoms:
H 0.583 0.059 0.331
H 0.358 0.583 0.331
H 0.583 0.358 0.669
H 0.059 0.583 0.669
H 0.358 0.059 0.669
H 0.059 0.358 0.331
Ca 0.667 0.667 0.500
Cs 0.000 0.000 0.000
Al 0.333 0.333 0.500

---

Compound: CsCa2AlIr
Source: Alexandria via LeMat-Bulk
Functional: PBE
Structure: optimized geometry

The calculated volume is 161.4 Å³ per cell. As for the energy of formation: -138 meV per atom. The symmetry is P4/mmm, No. 123. The raw total energy is -3.63 eV/atom.

abc: 5.712 5.712 4.946
angles: 90.00 90.00 90.00
Fractional coordinates of all 5 atoms:
Ca 0.500 0.000 0.000
Ca 0.000 0.500 0.000
Al 0.000 0.000 0.500
Ir 0.000 0.000 0.000
Cs 0.500 0.500 0.500

---

Compound: CsCaAlO2
Source: Alexandria via LeMat-Bulk
Functional: PBE
Structure: optimized geometry

The calculated volume is 134.5 Å³ per cell. The energy relative to the elements, uncorrected comes out at 0.52 eV per atom. The symmetry is P4/mmm, No. 123. The raw total energy is -2.79 eV/atom.

abc: 4.602 6.350 4.602
angles: 90.00 90.00 90.00
Fractional coordinates of all 5 atoms:
Cs 0.000 0.000 0.000
Ca 0.000 0.500 0.000
O 0.500 0.000 0.000
O 0.000 0.000 0.500
Al 0.500 0.500 0.500

---

Compound: CsCaAlO3
Source: Alexandria via LeMat-Bulk
Functional: PBE
Structure: optimized geometry

The calculated volume is 198.6 Å³ per cell. The energy relative to the elements, uncorrected comes out at -2.28 eV per atom. The symmetry is C2/m, No. 12. The raw total energy is -5.85 eV/atom.

abc: 3.773 6.863 8.301
angles: 105.41 90.00 105.96
Fractional coordinates of all 12 atoms:
O 0.510 0.019 0.328
O 0.133 0.267 0.743
O 0.490 0.981 0.672
O 0.847 0.695 0.632
O 0.867 0.733 0.257
O 0.153 0.305 0.368
Al 0.009 0.018 0.315
Al 0.991 0.982 0.685
Ca 0.659 0.317 0.573
Ca 0.341 0.683 0.427
Cs 0.350 0.701 0.923
Cs 0.650 0.299 0.077

---

Compound: Cs2CaAlOs
Source: Alexandria via LeMat-Bulk
Functional: PBE
Structure: optimized geometry

The calculated volume is 229.2 Å³ per cell. As for the energy of formation: 1040 meV per atom. The symmetry is P4/mmm, No. 123. The raw total energy is -2.70 eV/atom.

abc: 6.969 4.719 6.969
angles: 90.00 90.00 90.00
Fractional coordinates of all 5 atoms:
Os 0.000 0.500 0.000
Al 0.000 0.000 0.000
Cs 0.000 0.000 0.500
Cs 0.500 0.000 0.000
Ca 0.500 0.500 0.500

---

Compound: Cs2CaAlRe
Source: Alexandria via LeMat-Bulk
Functional: PBE
Structure: optimized geometry

The calculated volume is 255.0 Å³ per cell. As for the energy of formation: 1202 meV per atom. The symmetry is P4/mmm, No. 123. The raw total energy is -2.78 eV/atom.

abc: 7.245 4.859 7.245
angles: 90.00 90.00 90.00
Each line ends with the local moment (μB).
Fractional coordinates of all 5 atoms:
Ca 0.500 0.500 0.500  0.00
Re 0.000 0.500 0.000  2.00
Cs 0.500 0.000 0.000  0.00
Cs 0.000 0.000 0.500  -0.01
Al 0.000 0.000 0.000  -0.04